(1)
Computed, not measured: crystalline YZn2W at its relaxed geometry at the PBEsol level of DFT.

a = 4.6089 Å, b = 4.6089 Å, c = 4.6089 Å
α = 60.00°, β = 60.00°, γ = 60.00°
Fractional coordinates of all 4 atoms:
1 Y 0.0000 0.0000 0.0000
2 Zn 0.2500 0.2500 0.2500
3 Zn 0.7500 0.7500 0.7500
4 W 0.5000 0.5000 0.5000

Properties
Symmetry   Fm-3m (225)
V   69.2 Å³ per cell
Spin magnetization   0.22 μB/atom
Energy relative to the elements   276.7 meV per atom
Excess energy over the best structure of this formula in the dataset   0 meV/atom
Total DFT energy (no corrections)   -5.67 eV per atom

=====

(2)
Computed, not measured: crystalline Y2ZnW at its relaxed geometry at the PBEsol level of DFT.

a = 3.4442 Å, b = 3.4442 Å, c = 7.2171 Å
α = 90.00°, β = 90.00°, γ = 90.00°
Fractional coordinates of all 4 atoms:
1 Y 0.0000 0.0000 0.2404
2 Y 0.0000 0.0000 0.7596
3 Zn 0.5000 0.5000 0.5000
4 W 0.5000 0.5000 0.0000

Properties
Symmetry   P4/mmm (123)
V   85.6 Å³ per cell
Spin magnetization   0.00 μB/atom
Energy relative to the elements   244.2 meV per atom
Total DFT energy (no corrections)   -7.01 eV per atom

=====

(3)
Computed, not measured: crystalline YZnW at its relaxed geometry at the PBEsol level of DFT.

a = 4.4398 Å, b = 4.4398 Å, c = 4.4398 Å
α = 60.00°, β = 60.00°, γ = 60.00°
Fractional coordinates of all 3 atoms:
1 Y 0.0000 0.0000 0.0000
2 Zn 0.7500 0.7500 0.7500
3 W 0.5000 0.5000 0.5000

Properties
Symmetry   F-43m (216)
V   61.9 Å³ per cell
Spin magnetization   0.00 μB/atom
Energy relative to the elements   841.0 meV per atom
Excess energy over the best structure of this formula in the dataset   388 meV/atom
Total DFT energy (no corrections)   -6.56 eV per atom

=====

(4)
Computed, not measured: crystalline Y2ZnW at its relaxed geometry at the PBEsol level of DFT.

a = 5.7039 Å, b = 5.7039 Å, c = 5.7039 Å
α = 141.88°, β = 131.82°, γ = 63.03°
Fractional coordinates of all 4 atoms:
1 Y 0.0000 0.0000 0.0000
2 Y 0.7159 0.2159 0.5000
3 Zn 0.2544 0.7544 0.5000
4 W 0.4394 0.4394 0.0000

Properties
Symmetry   Imm2 (44)
V   84.3 Å³ per cell
Spin magnetization   0.00 μB/atom
Energy relative to the elements   274.0 meV per atom
Total DFT energy (no corrections)   -6.98 eV per atom

=====

(5)
Computed, not measured: crystalline YZnW at its relaxed geometry at the PBEsol level of DFT.

a = 4.7655 Å, b = 4.7655 Å, c = 2.8439 Å
α = 90.00°, β = 90.00°, γ = 120.00°
Fractional coordinates of all 3 atoms:
1 Y 0.0000 0.0000 0.0000
2 Zn 0.3333 0.6667 0.5000
3 W 0.6667 0.3333 0.5000

Properties
Symmetry   P-6m2 (187)
V   55.9 Å³ per cell
Spin magnetization   0.00 μB/atom
Energy relative to the elements   453.1 meV per atom
Excess energy over the best structure of this formula in the dataset   0 meV/atom
Total DFT energy (no corrections)   -6.95 eV per atom

=====

(6)
Computed, not measured: crystalline Y4ZrW at its relaxed geometry at the PBEsol level of DFT.

a = 5.9403 Å, b = 5.9403 Å, c = 5.9403 Å
α = 60.00°, β = 60.00°, γ = 60.00°
Fractional coordinates of all 6 atoms:
1 Y 0.1242 0.1242 0.1242
2 Y 0.1242 0.1242 0.6273
3 Y 0.1242 0.6273 0.1242
4 Y 0.6273 0.1242 0.1242
5 Zr 0.5000 0.5000 0.5000
6 W 0.7500 0.7500 0.7500

Properties
Symmetry   F-43m (216)
V   148.2 Å³ per cell
Spin magnetization   0.00 μB/atom
Energy relative to the elements   968.0 meV per atom
Total DFT energy (no corrections)   -7.40 eV per atom

=====

(7)
Computed, not measured: crystalline YZrW at its relaxed geometry at the PBEsol level of DFT.

a = 4.6477 Å, b = 4.6477 Å, c = 4.6477 Å
α = 60.00°, β = 60.00°, γ = 60.00°
Fractional coordinates of all 3 atoms:
1 Y 0.0000 0.0000 0.0000
2 Zr 0.5000 0.5000 0.5000
3 W 0.2500 0.2500 0.2500

Properties
Symmetry   F-43m (216)
V   71.0 Å³ per cell
Spin magnetization   0.00 μB/atom
Energy relative to the elements   750.6 meV per atom
Excess energy over the best structure of this formula in the dataset   259 meV/atom
Total DFT energy (no corrections)   -9.16 eV per atom

=====

(8)
Computed, not measured: crystalline YZrW at its relaxed geometry at the PBEsol level of DFT.

a = 5.1811 Å, b = 5.1811 Å, c = 5.1811 Å
α = 147.46°, β = 123.29°, γ = 66.93°
Fractional coordinates of all 3 atoms:
1 Y 0.0000 0.0000 0.0000
2 Zr 0.6719 0.6719 0.0000
3 W 0.3374 0.3374 0.0000

Properties
Symmetry   Imm2 (44)
V   61.8 Å³ per cell
Spin magnetization   0.00 μB/atom
Energy relative to the elements   491.7 meV per atom
Excess energy over the best structure of this formula in the dataset   0 meV/atom
Total DFT energy (no corrections)   -9.41 eV per atom

=====

(9)
Computed, not measured: crystalline YZrW4 at its relaxed geometry at the PBEsol level of DFT.

a = 5.4145 Å, b = 5.4145 Å, c = 5.4145 Å
α = 60.00°, β = 60.00°, γ = 60.00°
Fractional coordinates of all 6 atoms:
1 Y 0.0000 0.0000 0.0000
2 Zr 0.7500 0.7500 0.7500
3 W 0.3749 0.3749 0.3749
4 W 0.3749 0.3749 0.8753
5 W 0.3749 0.8753 0.3749
6 W 0.8753 0.3749 0.3749

Properties
Symmetry   F-43m (216)
V   112.2 Å³ per cell
Spin magnetization   0.00 μB/atom
Energy relative to the elements   30.6 meV per atom
Total DFT energy (no corrections)   -11.83 eV per atom

=====

(10)
Computed, not measured: crystalline Zn3W at its relaxed geometry at the PBEsol level of DFT.

a = 4.9273 Å, b = 4.9273 Å, c = 4.9273 Å
α = 136.16°, β = 136.16°, γ = 63.73°
Fractional coordinates of all 4 atoms:
1 Zn 0.0000 0.0000 0.0000
2 Zn 0.2500 0.7500 0.5000
3 Zn 0.7500 0.2500 0.5000
4 W 0.5000 0.5000 0.0000

Properties
Symmetry   I4/mmm (139)
V   56.6 Å³ per cell
Spin magnetization   0.00 μB/atom
Energy relative to the elements   347.2 meV per atom
Total DFT energy (no corrections)   -4.29 eV per atom

=====

(11)
Computed, not measured: crystalline Zn3W at its relaxed geometry at the PBEsol level of DFT.

a = 2.6539 Å, b = 2.6539 Å, c = 8.3383 Å
α = 90.00°, β = 90.00°, γ = 102.89°
Fractional coordinates of all 4 atoms:
1 Zn 0.0000 0.0000 0.0000
2 Zn 0.5000 0.5000 0.2461
3 Zn 0.5000 0.5000 0.7539
4 W 0.0000 0.0000 0.5000

Properties
Symmetry   Cmmm (65)
V   57.2 Å³ per cell
Spin magnetization   0.00 μB/atom
Energy relative to the elements   168.8 meV per atom
Total DFT energy (no corrections)   -4.47 eV per atom

=====

(12)
Computed, not measured: crystalline ZrZn2W at its relaxed geometry at the PBEsol level of DFT.

a = 9.5884 Å, b = 9.5884 Å, c = 9.5884 Å
α = 16.90°, β = 16.90°, γ = 16.90°
Fractional coordinates of all 4 atoms:
1 Zr 0.0000 0.0000 0.0000
2 Zn 0.2455 0.2455 0.2455
3 Zn 0.7545 0.7545 0.7545
4 W 0.5000 0.5000 0.5000

Properties
Symmetry   R-3m (166)
V   65.0 Å³ per cell
Spin magnetization   0.00 μB/atom
Energy relative to the elements   187.5 meV per atom
Excess energy over the best structure of this formula in the dataset   170 meV/atom
Total DFT energy (no corrections)   -6.33 eV per atom

=====

(13)
Computed, not measured: crystalline ZrZn2W at its relaxed geometry at the PBEsol level of DFT.

a = 2.8047 Å, b = 3.9380 Å, c = 5.7234 Å
α = 90.00°, β = 90.00°, γ = 90.00°
Fractional coordinates of all 4 atoms:
1 Zr 0.0000 0.0000 0.0000
2 Zn 0.5000 0.5000 0.2729
3 Zn 0.5000 0.5000 0.7271
4 W 0.0000 0.0000 0.5000

Properties
Symmetry   Pmmm (47)
V   63.2 Å³ per cell
Spin magnetization   0.00 μB/atom
Energy relative to the elements   17.8 meV per atom
Excess energy over the best structure of this formula in the dataset   0 meV/atom
Total DFT energy (no corrections)   -6.50 eV per atom

=====

(14)
Computed, not measured: crystalline ZrZnW2 at its relaxed geometry at the PBEsol level of DFT.

a = 2.7579 Å, b = 4.7421 Å, c = 5.0926 Å
α = 90.00°, β = 96.18°, γ = 90.00°
Fractional coordinates of all 4 atoms:
1 Zr 0.0000 0.0000 0.0000
2 Zn 0.5000 0.0000 0.5000
3 W 0.2838 0.5000 0.7538
4 W 0.7162 0.5000 0.2462

Properties
Symmetry   P2/m (10)
V   66.2 Å³ per cell
Spin magnetization   0.00 μB/atom
Energy relative to the elements   243.0 meV per atom
Total DFT energy (no corrections)   -9.33 eV per atom

=====

(15)
Computed, not measured: crystalline ZrZnW at its relaxed geometry at the PBEsol level of DFT.

a = 4.2885 Å, b = 4.2885 Å, c = 4.2885 Å
α = 60.00°, β = 60.00°, γ = 60.00°
Fractional coordinates of all 3 atoms:
1 Zr 0.0000 0.0000 0.0000
2 Zn 0.7500 0.7500 0.7500
3 W 0.5000 0.5000 0.5000

Properties
Symmetry   F-43m (216)
V   55.8 Å³ per cell
Spin magnetization   0.00 μB/atom
Energy relative to the elements   676.1 meV per atom
Total DFT energy (no corrections)   -7.48 eV per atom

=====

(16)
Computed, not measured: crystalline ZrZn2W at its relaxed geometry at the PBEsol level of DFT.

a = 5.3770 Å, b = 5.3770 Å, c = 5.3770 Å
α = 148.36°, β = 127.69°, γ = 62.44°
Fractional coordinates of all 4 atoms:
1 Zr 0.0000 0.0000 0.0000
2 Zn 0.5113 0.5113 0.0000
3 Zn 0.7324 0.2324 0.5000
4 W 0.2653 0.7653 0.5000

Properties
Symmetry   Imm2 (44)
V   63.9 Å³ per cell
Spin magnetization   0.00 μB/atom
Energy relative to the elements   131.4 meV per atom
Excess energy over the best structure of this formula in the dataset   114 meV/atom
Total DFT energy (no corrections)   -6.38 eV per atom

=====

(17)
Computed, not measured: crystalline ZrZn2W at its relaxed geometry at the PBEsol level of DFT.

a = 2.7796 Å, b = 4.0673 Å, c = 5.7858 Å
α = 90.00°, β = 90.00°, γ = 90.00°
Fractional coordinates of all 4 atoms:
1 Zr 0.0000 0.0000 0.0000
2 Zn 0.0000 0.0000 0.4931
3 Zn 0.5000 0.5000 0.7299
4 W 0.5000 0.5000 0.2645

Properties
Symmetry   Pmm2 (25)
V   65.4 Å³ per cell
Spin magnetization   0.00 μB/atom
Energy relative to the elements   196.6 meV per atom
Excess energy over the best structure of this formula in the dataset   179 meV/atom
Total DFT energy (no corrections)   -6.32 eV per atom

=====

(18)
Computed, not measured: crystalline ZrW2 at its relaxed geometry at the PBEsol level of DFT.

a = 5.3584 Å, b = 5.3584 Å, c = 5.3584 Å
α = 60.00°, β = 60.00°, γ = 60.00°
Fractional coordinates of all 6 atoms:
1 Zr 0.1250 0.1250 0.1250
2 Zr 0.8750 0.8750 0.8750
3 W 0.0000 0.5000 0.5000
4 W 0.5000 0.0000 0.5000
5 W 0.5000 0.5000 0.0000
6 W 0.5000 0.5000 0.5000

Properties
Symmetry   Fd-3m (227)
V   108.8 Å³ per cell
Spin magnetization   0.00 μB/atom
Energy relative to the elements   -131.8 meV per atom
Total DFT energy (no corrections)   -12.37 eV per atom

=====

(19)
Computed, not measured: crystalline ZrW2 at its relaxed geometry at the PBEsol level of DFT.

a = 4.5757 Å, b = 4.5757 Å, c = 2.8277 Å
α = 90.00°, β = 90.00°, γ = 120.00°
Fractional coordinates of all 3 atoms:
1 Zr 0.0000 0.0000 0.0000
2 W 0.3333 0.6667 0.6498
3 W 0.6667 0.3333 0.3502

Properties
Symmetry   P-3m1 (164)
V   51.3 Å³ per cell
Spin magnetization   0.00 μB/atom
Energy relative to the elements   114.4 meV per atom
Total DFT energy (no corrections)   -12.12 eV per atom

=====

(20)
Computed, not measured: crystalline ZrW2 at its relaxed geometry at the PBEsol level of DFT.

a = 5.5292 Å, b = 5.5292 Å, c = 5.5292 Å
α = 146.24°, β = 146.24°, γ = 48.48°
Fractional coordinates of all 3 atoms:
1 Zr 0.0000 0.0000 0.0000
2 W 0.3207 0.3207 0.0000
3 W 0.6793 0.6793 0.0000

Properties
Symmetry   I4/mmm (139)
V   52.0 Å³ per cell
Spin magnetization   0.00 μB/atom
Energy relative to the elements   49.9 meV per atom
Total DFT energy (no corrections)   -12.19 eV per atom